VGeSbO6: relaxed, PBE with a Hubbard U.

Values from the calculation:
DOS(E_F)   0.083 states/eV per cell
Magnetic moment   0.000 μB/atom
Final energy   -58.6 eV per formula unit

extended XYZ file:
```
18
Lattice="5.1949 0.0000 0.0000 -2.5974 4.4989 0.0000 0.0000 0.0000 9.6396" Properties=species:S:1:pos:R:3 pbc="T T T"
V 0.0000 2.9993 2.4099
V 2.5974 1.4996 7.2297
Ge 0.0000 0.0000 0.0000
Ge 0.0000 0.0000 4.8198
Sb 2.5974 1.4996 2.4099
Sb 0.0000 2.9993 7.2297
O 1.5807 2.8629 1.3330
O -0.9085 1.6985 1.3330
O 1.9252 0.0625 6.1528
O 3.5059 2.8004 8.3066
O 0.9085 1.6985 3.4868
O -1.5807 2.8629 3.4868
O 3.2697 0.0625 8.3066
O 0.6722 4.4364 3.4868
O 4.1782 1.6360 6.1528
O -0.6722 4.4364 1.3330
O 1.6889 2.8004 6.1528
O 1.0167 1.6360 8.3066
```